Record 1
# AlIrW2

A geometry-optimized AlIrW2 structure (PBE, Alexandria).

Computed properties:
space-group type: Pm (6)
DFT formation energy: -16.9 kJ/mol of atoms

Lattice parameters (Å, degrees): 4.3899 2.7842 5.0381 84.23 90.00 90.00
Positions (direct):
1 Ir 0.5000 0.6391 0.7486
2 Al 0.0000 0.6143 0.4900
3 W 0.0000 0.0318 0.9950
4 W 0.5000 0.2149 0.2664



Record 2
# Ho6ErS8

A geometry-optimized Ho6ErS8 structure (PBE, Alexandria).

Computed properties:
space-group type: Fm-3m (225)
formation energy (no corrections): -2.04 eV/atom

Lattice parameters (Å, degrees): 7.7513 7.7513 7.7513 60.00 60.00 60.00
Positions (direct):
1 Ho 0.0000 0.5000 0.5000
2 Ho 0.5000 0.0000 0.0000
3 Ho 0.5000 0.5000 0.0000
4 Ho 0.0000 0.0000 0.5000
5 Ho 0.0000 0.5000 0.0000
6 Ho 0.5000 0.0000 0.5000
7 Er 0.0000 0.0000 0.0000
8 S 0.7500 0.7500 0.7500
9 S 0.2500 0.2500 0.2500
10 S 0.7500 0.2500 0.2500
11 S 0.2500 0.7500 0.7500
12 S 0.2500 0.2500 0.7500
13 S 0.7500 0.7500 0.2500
14 S 0.7500 0.2500 0.7500
15 S 0.2500 0.7500 0.2500



Record 3
# LaY2Fe

A geometry-optimized LaY2Fe structure (PBE, Alexandria).

Computed properties:
ΔE to the lowest computed polymorph: 714 meV/atom
space-group type: I-42d (122)
DFT formation energy: 78.2 kJ/mol of atoms

Lattice parameters (Å, degrees): 7.4781 7.4781 7.4821 60.02 60.02 90.00
Last column: magnetic moment on the atom in μB.
Positions (direct):
1 Y 0.3791 0.1250 0.2500  0.06
2 Y 0.3709 0.6250 0.2500  0.07
3 Y 0.3750 0.6209 0.7500  0.07
4 Y 0.8750 0.6291 0.7500  0.06
5 Fe 0.5000 0.5000 0.0000  -0.01
6 Fe 0.2500 0.7500 0.5000  -0.02
7 La 0.0000 0.0000 0.0000  0.36
8 La 0.7500 0.2500 0.5000  0.36



Record 4
# HfCuAsBr2

A geometry-optimized HfCuAsBr2 structure (PBE, Alexandria).

Computed properties:
ΔE to the lowest computed polymorph: 0 meV/atom
space-group type: P4/mmm (123)
formation energy (no corrections): 0.02 eV/atom

Lattice parameters (Å, degrees): 5.1872 5.1872 5.3196 90.00 90.00 90.00
Positions (direct):
1 As 0.0000 0.0000 0.5000
2 Hf 0.0000 0.0000 0.0000
3 Cu 0.5000 0.5000 0.5000
4 Br 0.0000 0.5000 0.0000
5 Br 0.5000 0.0000 0.0000



| no. | total energy (eV/cell) |
| --- | --- |
| 1 | -39.21 |
| 2 | -95.66 |
| 3 | -46.15 |
| 4 | -21.96 |